Record 1
The following is a DFT calculation (GGA-PBE) of Rb2NaSrHg after structural relaxation.

Output
Energy of formation ... 1.98 eV/f.u.
Density of states at the Fermi level ... 5.629 states/eV/f.u.

abc: 8.411 8.411 7.189
angles: 90.00 90.00 90.00
Space group P4/mmm (No. 123)
One atom of each set of equivalent atoms:
Rb 0.000 0.500 0.000 (multiplicity 2)
Na 0.000 0.000 0.500 (multiplicity 1)
Sr 0.000 0.000 0.000 (multiplicity 1)
Hg 0.500 0.500 0.500 (multiplicity 1)

Record 2
The following is a DFT calculation (GGA-PBE) of Dy2ThTe after structural relaxation.

Output
Relative energy among the computed polymorphs ... 0.000 eV per atom
Formation energy from raw total energies ... -13.1 kcal/mol of atoms
Density of states at the Fermi level ... 2.821 states/eV/f.u.

abc: 3.813 3.813 8.132
angles: 90.00 90.00 90.00
Space group P4/mmm (No. 123)
One atom of each set of equivalent atoms:
Dy 0.000 0.000 0.225 (multiplicity 2)
Th 0.500 0.500 0.500 (multiplicity 1)
Te 0.500 0.500 0.000 (multiplicity 1)

Record 3
The following is a DFT calculation (GGA-PBE) of AgSbO2 after structural relaxation.

Output
Formation energy from raw total energies ... -5.4 kcal/mol of atoms
Density of states at the Fermi level ... 1.087 states/eV/f.u.

abc: 3.018 3.018 6.110
angles: 90.00 90.00 90.00
Space group P4/mmm (No. 123)
One atom of each set of equivalent atoms:
Ag 0.000 0.000 0.000 (multiplicity 1)
Sb 0.000 0.000 0.500 (multiplicity 1)
O 0.500 0.500 0.284 (multiplicity 2)

Record 4
The following is a DFT calculation (GGA-PBE) of ScPt2IF after structural relaxation.

Output
Formation energy from raw total energies ... 1.3 kcal/mol of atoms
Density of states at the Fermi level ... 2.263 states/eV/f.u.

abc: 4.358 4.358 5.265
angles: 90.00 90.00 90.00
Space group P4/mmm (No. 123)
One atom of each set of equivalent atoms:
Sc 0.000 0.000 0.000 (multiplicity 1)
Pt 0.000 0.500 0.500 (multiplicity 2)
I 0.500 0.500 0.000 (multiplicity 1)
F 0.500 0.500 0.500 (multiplicity 1)

Record 5
The following is a DFT calculation (GGA-PBE) of MnGa2Ag after structural relaxation.

Output
Relative energy among the computed polymorphs ... 0.123 eV per atom
Energy of formation ... 0.39 eV/f.u.
Density of states at the Fermi level ... 2.878 states/eV/f.u.

abc: 6.358 6.358 6.358
angles: 90.00 90.00 90.00
Space group Fm-3m (No. 225)
One atom of each set of equivalent atoms:
Mn 0.000 0.000 0.000 (multiplicity 4)
Ga 0.250 0.250 0.250 (multiplicity 8)
Ag 0.000 0.000 0.500 (multiplicity 4)

Record 6
The following is a DFT calculation (GGA-PBE) of ReNiI2N after structural relaxation.

Output
Relative energy among the computed polymorphs ... 0.590 eV per atom
Formation energy from raw total energies ... 33.0 kcal/mol of atoms
Density of states at the Fermi level ... 6.203 states/eV/f.u.

abc: 5.290 5.290 3.381
angles: 90.00 90.00 90.00
Space group P4/mmm (No. 123)
One atom of each set of equivalent atoms:
Re 0.000 0.000 0.000 (multiplicity 1)
Ni 0.500 0.500 0.500 (multiplicity 1)
I 0.000 0.500 0.500 (multiplicity 2)
N 0.500 0.500 0.000 (multiplicity 1)